A relaxed CdPPbO2 crystal, computed with GGA-PBEsol.

Results
- E_form (uncorrected): 0.19 eV per atom
- Fermi-level density of states: 0.8090 states/eV/atom
- Crystal system: tetragonal

Cell: 4.1459 4.1459 5.0310 Å, 90.00 90.00 90.00°
Space group P4/mmm (No. 123)
Unique sites:
Cd1 0.0000 0.0000 0.0000 [1 per cell]
P1 0.0000 0.0000 0.5000 [1 per cell]
Pb1 0.5000 0.5000 0.5000 [1 per cell]
O1 0.0000 0.5000 0.0000 [2 per cell]

A relaxed YSc3Tc crystal, computed with GGA-PBEsol.

Results
- Fermi-level density of states: 1.1089 states/eV/atom
- Crystal system: cubic
- Energy of formation: 37 kJ/mol of formula units

Cell: 4.9986 4.9986 4.9986 Å, 90.00 90.00 90.00°
Space group Pm-3m (No. 221)
Unique sites:
Y1 0.0000 0.0000 0.0000 [1 per cell]
Sc1 0.0000 0.5000 0.5000 [3 per cell]
Tc1 0.5000 0.5000 0.5000 [1 per cell]

A relaxed Tl3Te crystal, computed with GGA-PBEsol.

Results
- E_form (uncorrected): -0.15 eV per atom
- Fermi-level density of states: 0.3358 states/eV/atom
- Crystal system: orthorhombic
- Offset from the most stable computed form: 0.0203 eV/atom

Cell: 6.7845 16.9341 6.2092 Å, 90.00 90.00 90.00°
Space group Pmmn (No. 59, origin choice 2)
Unique sites:
Tl1 0.0024 0.2500 0.0347 [4 per cell]
Tl2 0.0026 0.0818 0.3375 [8 per cell]
Tl3 0.2500 0.0821 0.8429 [4 per cell]
Tl4 0.2500 0.7500 0.4647 [2 per cell]
Te1 0.2500 0.2500 0.5649 [2 per cell]
Te2 0.2500 0.5865 0.1619 [4 per cell]

A relaxed Sr2TaTl crystal, computed with GGA-PBEsol.

Results
- Fermi-level density of states: 1.4226 states/eV/atom
- Crystal system: tetragonal
- Offset from the most stable computed form: 0.0000 eV/atom
- Energy of formation: 201 kJ/mol of formula units

Cell: 3.2717 3.2717 10.2803 Å, 90.00 90.00 90.00°
Space group P4/mmm (No. 123)
Unique sites:
Sr1 0.0000 0.0000 0.2456 [2 per cell]
Ta1 0.5000 0.5000 0.0000 [1 per cell]
Tl1 0.5000 0.5000 0.5000 [1 per cell]

A relaxed Ge3BiPd crystal, computed with GGA-PBEsol.

Results
- Fermi-level density of states: 0.3944 states/eV/atom
- Crystal system: cubic
- Energy of formation: 101 kJ/mol of formula units

Cell: 4.8461 4.8461 4.8461 Å, 90.00 90.00 90.00°
Space group Pm-3m (No. 221)
Unique sites:
Ge1 0.0000 0.0000 0.5000 [3 per cell]
Bi1 0.5000 0.5000 0.5000 [1 per cell]
Pd1 0.0000 0.0000 0.0000 [1 per cell]

A relaxed Dy2NiAs2 crystal, computed with GGA-PBEsol.

Results
- Fermi-level density of states: 0.2493 states/eV/atom
- Crystal system: hexagonal
- Energy of formation: -616 kJ/mol of formula units

Cell: 4.0457 4.0457 14.0363 Å, 90.00 90.00 120.00°
Space group P6_3/mmc (No. 194)
Unique sites:
Dy1 0.3333 0.6667 0.1172 [4 per cell]
Ni1 0.0000 0.0000 0.2500 [2 per cell]
As1 0.0000 0.0000 0.0000 [2 per cell]
As2 0.3333 0.6667 0.7500 [2 per cell]

A relaxed MnS crystal, computed with GGA-PBEsol.

Results
- E_form (uncorrected): -0.31 eV per atom
- Fermi-level density of states: 0.7132 states/eV/atom
- Crystal system: cubic

Cell: 5.4529 5.4529 5.4529 Å, 90.00 90.00 90.00°
Space group F-43m (No. 216)
Unique sites:
Mn1 0.0000 0.0000 0.0000 [4 per cell]
S1 0.2500 0.2500 0.7500 [4 per cell]

A relaxed ReRu2Pt crystal, computed with GGA-PBEsol.

Results
- Fermi-level density of states: 0.8663 states/eV/atom
- Crystal system: tetragonal
- Offset from the most stable computed form: 0.0059 eV/atom
- Energy of formation: -4 kJ/mol of formula units

Cell: 3.8611 3.8611 7.4910 Å, 90.00 90.00 90.00°
Space group I4/mmm (No. 139)
Unique sites:
Re1 0.0000 0.0000 0.0000 [2 per cell]
Ru1 0.0000 0.5000 0.2500 [4 per cell]
Pt1 0.0000 0.0000 0.5000 [2 per cell]

A relaxed NiHgRh2 crystal, computed with GGA-PBEsol.

Results
- Fermi-level density of states: 1.2627 states/eV/atom
- Crystal system: tetragonal
- Energy of formation: 90 kJ/mol of formula units

Cell: 3.8472 3.8472 7.7489 Å, 90.00 90.00 90.00°
Space group I4/mmm (No. 139)
Unique sites:
Ni1 0.0000 0.0000 0.0000 [2 per cell]
Hg1 0.0000 0.0000 0.5000 [2 per cell]
Rh1 0.0000 0.5000 0.2500 [4 per cell]

A relaxed Sc2ReAuI crystal, computed with GGA-PBEsol.

Results
- E_form (uncorrected): 1.37 eV per atom
- Fermi-level density of states: 1.3052 states/eV/atom
- Crystal system: tetragonal

Cell: 5.0848 5.0848 5.2748 Å, 90.00 90.00 90.00°
Space group P4/mmm (No. 123)
Unique sites:
Sc1 0.0000 0.5000 0.0000 [2 per cell]
Re1 0.0000 0.0000 0.5000 [1 per cell]
Au1 0.5000 0.5000 0.0000 [1 per cell]
I1 0.5000 0.5000 0.5000 [1 per cell]

A relaxed HfScMnSn2 crystal, computed with GGA-PBEsol.

Results
- Fermi-level density of states: 0.9794 states/eV/atom
- Crystal system: tetragonal
- Energy of formation: 91 kJ/mol of formula units

Cell: 4.8739 4.8739 4.6338 Å, 90.00 90.00 90.00°
Space group P4/mmm (No. 123)
Unique sites:
Hf1 0.0000 0.0000 0.0000 [1 per cell]
Sc1 0.5000 0.5000 0.0000 [1 per cell]
Mn1 0.0000 0.0000 0.5000 [1 per cell]
Sn1 0.0000 0.5000 0.5000 [2 per cell]

A relaxed MgZn4O5 crystal, computed with GGA-PBEsol.

Results
- E_form (uncorrected): -1.68 eV per atom
- Crystal system: trigonal

Cell: 3.2497 3.2497 25.9598 Å, 90.00 90.00 120.00°
Space group P3m1 (No. 156)
Unique sites:
Mg1 0.0000 0.0000 0.0000 [1 per cell]
Mg2 0.0000 0.0000 0.1992 [1 per cell]
Zn1 0.0000 0.0000 0.4003 [1 per cell]
Zn2 0.0000 0.0000 0.6008 [1 per cell]
Zn3 0.0000 0.0000 0.8013 [1 per cell]
Zn4 0.3333 0.6667 0.1010 [1 per cell]
Zn5 0.3333 0.6667 0.3002 [1 per cell]
Zn6 0.3333 0.6667 0.5005 [1 per cell]
Zn7 0.3333 0.6667 0.7010 [1 per cell]
Zn8 0.3333 0.6667 0.9016 [1 per cell]
O1 0.0000 0.0000 0.0765 [1 per cell]
O2 0.0000 0.0000 0.2758 [1 per cell]
O3 0.0000 0.0000 0.4768 [1 per cell]
O4 0.0000 0.0000 0.6772 [1 per cell]
O5 0.0000 0.0000 0.8777 [1 per cell]
O6 0.3333 0.6667 0.1771 [1 per cell]
O7 0.3333 0.6667 0.3766 [1 per cell]
O8 0.3333 0.6667 0.5770 [1 per cell]
O9 0.3333 0.6667 0.7775 [1 per cell]
O10 0.3333 0.6667 0.9778 [1 per cell]

| no. | V (Å³/f.u.) |
| --- | --- |
| 1 | 86.48 |
| 2 | 124.89 |
| 3 | 118.90 |
| 4 | 110.04 |
| 5 | 113.81 |
| 6 | 99.48 |
| 7 | 40.53 |
| 8 | 55.84 |
| 9 | 57.35 |
| 10 | 136.38 |
| 11 | 110.08 |
| 12 | 118.71 |